Entry 1:
First-principles (PBEsol) data for crystalline Dy12Al7Si at its relaxed geometry, as listed in Alexandria via LeMat-Bulk.

Its size of the total moment is 0.0 μB per formula unit. As for the symmetry: No. 140. As for the energy relative to the elements, uncorrected: -0.37 eV/atom.

Unit cell a=11.0789 b=11.0789 c=11.0789 alpha=94.30 beta=117.55 gamma=117.55
Fractional coordinates of all 40 atoms:
Al (0.1442, 0.6178, 0.1178)
Dy (0.2627, 0.5629, 0.4269)
Dy (0.7373, 0.8002, 0.6642)
Si (0.0000, 0.2500, 0.2500)
Al (0.5000, 0.1178, 0.9736)
Al (0.8558, 0.9736, 0.4736)
Dy (0.8640, 0.9371, 0.1998)
Dy (0.5000, 0.8514, 0.3514)
Dy (0.2627, 0.1998, 0.3358)
Dy (0.8640, 0.6998, 0.4371)
Dy (0.8640, 0.4269, 0.1642)
Al (0.5000, 0.4736, 0.6178)
Al (0.7363, 0.6181, 0.1181)
Al (0.5000, 0.8822, 0.0264)
Dy (0.1360, 0.0629, 0.8002)
Al (0.2637, 0.3819, 0.8819)
Al (0.5000, 0.5264, 0.3822)
Dy (0.7373, 0.0731, 0.9371)
Al (0.0000, 0.0000, 0.0000)
Al (0.1442, 0.0264, 0.5264)
Dy (0.1360, 0.5731, 0.8358)
Dy (0.5000, 0.1486, 0.6486)
Dy (0.5000, 0.6715, 0.8285)
Dy (0.2627, 0.9269, 0.0629)
Dy (0.2627, 0.8358, 0.6998)
Al (0.5000, 0.8819, 0.6181)
Dy (0.8640, 0.6642, 0.9269)
Al (0.0000, 0.5000, 0.5000)
Dy (0.7373, 0.1642, 0.3002)
Al (0.8558, 0.3822, 0.8822)
Dy (0.5000, 0.3514, 0.8514)
Dy (0.1569, 0.8285, 0.3285)
Al (0.5000, 0.1181, 0.3819)
Si (0.0000, 0.7500, 0.7500)
Dy (0.5000, 0.3285, 0.1715)
Dy (0.1360, 0.3358, 0.0731)
Dy (0.5000, 0.6486, 0.1486)
Dy (0.8431, 0.1715, 0.6715)
Dy (0.1360, 0.3002, 0.5629)
Dy (0.7373, 0.4371, 0.5731)

Entry 2:
First-principles (PBEsol) data for crystalline DyAl2Si2 at its relaxed geometry, as listed in Alexandria via LeMat-Bulk.

Its size of the total moment is 0.0 μB per formula unit. As for the symmetry: No. 164. As for the energy relative to the elements, uncorrected: -0.39 eV/atom.

Unit cell a=4.1726 b=4.1726 c=6.4750 alpha=90.00 beta=90.00 gamma=120.00
Fractional coordinates of all 5 atoms:
Si (0.6667, 0.3333, 0.7436)
Al (0.3333, 0.6667, 0.6458)
Si (0.3333, 0.6667, 0.2564)
Dy (0.0000, 0.0000, 0.0000)
Al (0.6667, 0.3333, 0.3542)